# 1
The following is a PBE calculation of a geometry-optimized Tb4Pm2Dy5 structure, from Alexandria via LeMat-Bulk.

Output
E_form: 3.69 kcal/mol of atoms
Fermi-level density of states: 1.434 states/eV/atom
DFT total energy: -49.3 eV per cell
crystal system: monoclinic

a b c (Å): 6.6641 8.9122 10.2216
angles (deg): 40.13 70.97 68.05
Atoms (fractional coordinates):
Tb  0.4120  0.7697  0.4064
Tb  0.5880  0.2303  0.5936
Pm  0.1998  0.8977  0.7028
Dy  0.3503  0.7293  0.0943
Dy  0.1739  0.2707  0.9057
Tb  0.7563  0.6820  0.8055
Dy  0.0000  0.5000  0.5000
Dy  0.6497  0.2707  0.9057
Tb  0.2437  0.3180  0.1945
Dy  0.8261  0.7293  0.0943
Pm  0.8002  0.1023  0.2972



# 2
The following is a PBE calculation of a geometry-optimized InHgOs2 structure, from Alexandria via LeMat-Bulk.

Output
E_form: 15.44 kcal/mol of atoms
Fermi-level density of states: 0.953 states/eV/atom
DFT total energy: -22.8 eV per cell
crystal system: monoclinic

a b c (Å): 5.5311 5.5311 5.0106
angles (deg): 68.07 68.07 30.26
Atoms (fractional coordinates):
Os  0.9707  0.9707  0.9494
Os  0.2779  0.2779  0.3024
Hg  0.5219  0.5219  0.4253
In  0.7295  0.7295  0.8229